The following is a DFT calculation (PBE+U) of an optimized crystal structure of KMoAs2O8.

abc: 9.3924 9.3924 9.3924
angles: 33.95 33.95 33.95
Last column: nearest neighbours and their distance in Å.
Atoms (fractional coordinates):
K: 0.0000 0.0000 0.0000  6 O 3.30
Mo: 0.5000 0.5000 0.5000  6 O 1.97
As: 0.2361 0.2361 0.2361  4 O 1.66-1.72
As: 0.7639 0.7639 0.7639  4 O 1.66-1.72
O: 0.1239 0.6210 0.6210  1 As 1.72
O: 0.2987 0.2987 0.2987  1 As 1.66
O: 0.3790 0.3790 0.8761  1 As 1.72
O: 0.3790 0.8761 0.3790  1 As 1.72
O: 0.6210 0.1239 0.6210  1 As 1.72
O: 0.6210 0.6210 0.1239  1 As 1.72
O: 0.7013 0.7013 0.7013  1 As 1.66
O: 0.8761 0.3790 0.3790  1 As 1.72

Summary:
electronic total energy: -6.09 eV per atom